No. 1
Material: BaLaRe2
Method: DFT, PBE-GGA
State: optimized geometry

Geometry as POSCAR:
```
BaLaRe2
1.0
4.9835 0.0000 0.0000
0.0000 4.9835 0.0000
0.0000 0.0000 19.9587
Ba La Re
4 4 8
direct
0.0000 0.0000 0.0000 Ba
0.0000 0.5000 0.2500 Ba
0.5000 0.0000 0.7500 Ba
0.5000 0.5000 0.5000 Ba
0.0000 0.0000 0.5000 La
0.0000 0.5000 0.7500 La
0.5000 0.0000 0.2500 La
0.5000 0.5000 0.0000 La
0.0450 0.2500 0.6250 Re
0.2500 0.5450 0.8750 Re
0.2500 0.9550 0.3750 Re
0.4550 0.2500 0.1250 Re
0.5450 0.7500 0.1250 Re
0.7500 0.0450 0.3750 Re
0.7500 0.4550 0.8750 Re
0.9550 0.7500 0.6250 Re
```

Output
* relative energy among the computed polymorphs: 958 meV/atom
* symmetry: I-42d

No. 2
Material: FeSiHgBiH
Method: DFT, PBE-GGA
State: optimized geometry

Geometry as POSCAR:
```
FeSiHgBiH
1.0
9.2146 0.0000 0.0000
0.0000 3.1751 0.0000
-2.9592 0.0000 6.3992
Fe Si Hg Bi H
2 2 2 2 2
direct
0.0000 0.0000 0.0000 Fe
0.5000 0.5000 0.0000 Fe
0.1022 0.5000 0.2570 Si
0.6022 0.0000 0.2570 Si
0.3819 0.5000 0.5699 Hg
0.8819 0.0000 0.5699 Hg
0.2592 0.0000 0.9448 Bi
0.7592 0.5000 0.9448 Bi
0.0443 0.5000 0.4341 H
0.5443 0.0000 0.4341 H
```

Output
* relative energy among the computed polymorphs: 165 meV/atom
* symmetry: Cm

No. 3
Material: LiAc2Ir
Method: DFT, PBE-GGA
State: optimized geometry

Geometry as POSCAR:
```
LiAc2Ir
1.0
4.3681 0.0000 0.0000
-2.1840 3.7829 0.0000
0.0000 0.0000 26.3601
Li Ac Ir
3 6 3
direct
0.0000 0.0000 0.0000 Li
0.3333 0.6667 0.6667 Li
0.6667 0.3333 0.3333 Li
0.0000 0.0000 0.2290 Ac
0.0000 0.0000 0.4422 Ac
0.3333 0.6667 0.1089 Ac
0.3333 0.6667 0.8956 Ac
0.6667 0.3333 0.5623 Ac
0.6667 0.3333 0.7755 Ac
0.0000 0.0000 0.8361 Ir
0.3333 0.6667 0.5028 Ir
0.6667 0.3333 0.1695 Ir
```

Output
* symmetry: R3m
* energy: -61.4 eV for the cell shown

No. 4
Material: Pr3GaNi
Method: DFT, PBE-GGA
State: optimized geometry

Geometry as POSCAR:
```
Pr3GaNi
1.0
6.8777 0.0000 0.0000
0.0000 4.6602 0.0000
-2.0280 0.0000 8.5021
Pr Ga Ni
6 2 2
direct
0.0000 0.0000 0.0000 Pr
0.0026 0.0000 0.4344 Pr
0.1647 0.5000 0.7454 Pr
0.4476 0.0000 0.3030 Pr
0.5736 0.0000 0.6941 Pr
0.6220 0.5000 0.0688 Pr
0.1166 0.5000 0.2308 Ga
0.7239 0.5000 0.5033 Ga
0.3565 0.5000 0.4930 Ni
0.3867 0.0000 0.9441 Ni
```

Output
* relative energy among the computed polymorphs: 32 meV/atom
* symmetry: Pm

No. 5
Material: RbBe3Al
Method: DFT, PBE-GGA
State: optimized geometry

Geometry as POSCAR:
```
RbBe3Al
1.0
5.6293 0.0000 0.0000
0.0000 5.6293 0.0000
0.0000 0.0000 5.6293
Rb Be Al
1 3 1
direct
0.0000 0.0000 0.0000 Rb
0.0000 0.0000 0.5000 Be
0.0000 0.5000 0.0000 Be
0.5000 0.0000 0.0000 Be
0.5000 0.5000 0.5000 Al
```

Output
* relative energy among the computed polymorphs: 1434 meV/atom
* symmetry: Pm-3m

No. 6
Material: Tb2Se2F3
Method: DFT, PBE-GGA
State: optimized geometry

Geometry as POSCAR:
```
Tb2Se2F3
1.0
10.6188 0.0000 0.0000
0.0000 3.7447 0.0000
-3.3357 0.0000 6.3641
Tb Se F
4 4 6
direct
0.1628 0.0000 0.2318 Tb
0.3372 0.5000 0.7682 Tb
0.6628 0.5000 0.2318 Tb
0.8372 0.0000 0.7682 Tb
0.1336 0.0000 0.7919 Se
0.3664 0.5000 0.2081 Se
0.6336 0.5000 0.7919 Se
0.8664 0.0000 0.2081 Se
0.0000 0.5000 0.0000 F
0.1627 0.5000 0.4170 F
0.3373 0.0000 0.5830 F
0.5000 0.0000 0.0000 F
0.6627 0.0000 0.4170 F
0.8373 0.5000 0.5830 F
```

Output
* E_form (uncorrected): -19.711 eV/f.u.
* symmetry: C2/m

No. 7
Material: Ac2BeSnAu6
Method: DFT, PBE-GGA
State: optimized geometry

Geometry as POSCAR:
```
Ac2BeSnAu6
1.0
6.5591 0.0000 0.0000
3.2729 5.7417 0.0000
0.0251 3.6921 6.2927
Ac Be Sn Au
2 1 1 6
direct
0.2318 0.0378 0.1809 Ac
0.7682 0.9622 0.8191 Ac
0.0000 0.5000 0.5000 Be
0.5000 0.5000 0.0000 Sn
0.2196 0.5909 0.6583 Au
0.2293 0.0408 0.7061 Au
0.3151 0.4070 0.3453 Au
0.6849 0.5930 0.6547 Au
0.7707 0.9592 0.2939 Au
0.7804 0.4091 0.3417 Au
```

Output
* symmetry: P-1
* energy: -40.9 eV for the cell shown

No. 8
Material: TcPdI2
Method: DFT, PBE-GGA
State: optimized geometry

Geometry as POSCAR:
```
TcPdI2
1.0
6.1623 0.0000 0.0000
0.0000 6.1623 0.0000
0.0000 0.0000 12.0038
Tc Pd I
4 4 8
direct
0.0000 0.0000 0.0000 Tc
0.0000 0.5000 0.2500 Tc
0.5000 0.0000 0.7500 Tc
0.5000 0.5000 0.5000 Tc
0.0000 0.0000 0.5000 Pd
0.0000 0.5000 0.7500 Pd
0.5000 0.0000 0.2500 Pd
0.5000 0.5000 0.0000 Pd
0.2364 0.2500 0.1250 I
0.2500 0.7364 0.3750 I
0.2500 0.7636 0.8750 I
0.2636 0.2500 0.6250 I
0.7364 0.7500 0.6250 I
0.7500 0.2364 0.8750 I
0.7500 0.2636 0.3750 I
0.7636 0.7500 0.1250 I
```

Output
* relative energy among the computed polymorphs: 0 meV/atom
* E_form (uncorrected): 2.312 eV/f.u.
* symmetry: I-42d

No. 9
Material: KAgTeI2
Method: DFT, PBE-GGA
State: optimized geometry

Geometry as POSCAR:
```
KAgTeI2
1.0
6.4795 0.0000 0.0000
0.0000 6.4795 0.0000
0.0000 0.0000 6.3656
K Ag Te I
1 1 1 2
direct
0.0000 0.0000 0.0000 K
0.5000 0.5000 0.5000 Ag
0.0000 0.0000 0.5000 Te
0.0000 0.5000 0.0000 I
0.5000 0.0000 0.0000 I
```

Output
* relative energy among the computed polymorphs: 727 meV/atom
* E_form (uncorrected): 1.769 eV/f.u.
* symmetry: P4/mmm

No. 10
Material: K2Na2Zn
Method: DFT, PBE-GGA
State: optimized geometry

Geometry as POSCAR:
```
K2Na2Zn
1.0
8.2582 0.0000 0.0000
0.0000 8.2582 0.0000
0.0000 0.0000 6.3506
K Na Zn
4 4 2
direct
0.1841 0.3159 0.0000 K
0.3159 0.8159 0.0000 K
0.6841 0.1841 0.0000 K
0.8159 0.6841 0.0000 K
0.1490 0.6490 0.5000 Na
0.3510 0.1490 0.5000 Na
0.6490 0.8510 0.5000 Na
0.8510 0.3510 0.5000 Na
0.0000 0.0000 0.5000 Zn
0.5000 0.5000 0.5000 Zn
```

Output
* relative energy among the computed polymorphs: 0 meV/atom
* symmetry: P4/mbm

No. 11
Material: MnTe2Ru
Method: DFT, PBE-GGA
State: optimized geometry

Geometry as POSCAR:
```
MnTe2Ru
1.0
4.7405 0.0000 0.0000
0.0000 4.7405 0.0000
0.0000 0.0000 3.3408
Mn Te Ru
1 2 1
direct
0.0000 0.0000 0.0000 Mn
0.0000 0.5000 0.5000 Te
0.5000 0.0000 0.5000 Te
0.5000 0.5000 0.0000 Ru
```

Output
* relative energy among the computed polymorphs: 366 meV/atom
* E_form (uncorrected): 1.046 eV/f.u.
* symmetry: P4/mmm

No. 12
Material: SrLu2Zn
Method: DFT, PBE-GGA
State: optimized geometry

Geometry as POSCAR:
```
SrLu2Zn
1.0
3.5966 0.0000 0.0000
0.0000 3.5966 0.0000
0.0000 0.0000 9.3066
Sr Lu Zn
1 2 1
direct
0.0000 0.0000 0.0000 Sr
0.5000 0.5000 0.3231 Lu
0.5000 0.5000 0.6769 Lu
0.0000 0.0000 0.5000 Zn
```

Output
* relative energy among the computed polymorphs: 0 meV/atom
* symmetry: P4/mmm

No. 13
Material: CuWBr2
Method: DFT, PBE-GGA
State: optimized geometry

Geometry as POSCAR:
```
CuWBr2
1.0
3.2021 0.0000 0.0000
0.0000 3.2021 0.0000
0.0000 0.0000 8.0402
Cu W Br
1 1 2
direct
0.0000 0.0000 0.0000 Cu
0.5000 0.5000 0.1786 W
0.0000 0.0000 0.3837 Br
0.5000 0.5000 0.8204 Br
```

Output
* relative energy among the computed polymorphs: 239 meV/atom
* E_form (uncorrected): 2.043 eV/f.u.
* symmetry: P4mm

No. 14
Material: CoSi3
Method: DFT, PBE-GGA
State: optimized geometry

Geometry as POSCAR:
```
CoSi3
1.0
8.2994 0.0000 0.0000
0.0000 2.6988 0.0000
-0.8485 0.0000 4.4075
Co Si
2 6
direct
0.0000 0.0000 0.0000 Co
0.5000 0.5000 0.0000 Co
0.0000 0.5000 0.5000 Si
0.2347 0.5000 0.2344 Si
0.2653 0.0000 0.7656 Si
0.5000 0.0000 0.5000 Si
0.7347 0.0000 0.2344 Si
0.7653 0.5000 0.7656 Si
```

Output
* E_form (uncorrected): 0.346 eV/f.u.
* symmetry: C2/m

No. 15
Material: AcPrSm2Y5
Method: DFT, PBE-GGA
State: optimized geometry

Geometry as POSCAR:
```
AcPrSm2Y5
1.0
-4.4624 4.4624 7.8466
4.4624 -4.4624 7.8466
4.4624 4.4624 -7.8466
Ac Pr Sm Y
2 2 4 10
direct
0.2500 0.7500 0.5000 Ac
0.7500 0.2500 0.5000 Ac
0.2500 0.2500 0.0000 Pr
0.7500 0.7500 0.0000 Pr
0.1139 0.6139 0.7278 Sm
0.3861 0.1139 0.5000 Sm
0.6139 0.8861 0.5000 Sm
0.8861 0.3861 0.2722 Sm
0.0000 0.0000 0.0000 Y
0.0800 0.1596 0.5000 Y
0.1596 0.6596 0.0796 Y
0.3404 0.4200 0.5000 Y
0.4200 0.9200 0.0796 Y
0.5000 0.5000 0.0000 Y
0.5800 0.0800 0.9204 Y
0.6596 0.5800 0.5000 Y
0.8404 0.3404 0.9204 Y
0.9200 0.8404 0.5000 Y
```

Output
* symmetry: I4/mcm
* energy: -96.8 eV for the cell shown

No. 16
Material: LiLa2Rh
Method: DFT, PBE-GGA
State: optimized geometry

Geometry as POSCAR:
```
LiLa2Rh
1.0
5.0980 0.0000 0.0000
0.0000 5.0980 0.0000
0.0000 0.0000 3.7950
Li La Rh
1 2 1
direct
0.0000 0.0000 0.0000 Li
0.0000 0.5000 0.5000 La
0.5000 0.0000 0.5000 La
0.5000 0.5000 0.0000 Rh
```

Output
* symmetry: P4/mmm
* energy: -20.3 eV for the cell shown

No. 17
Material: Zr2ZnBi
Method: DFT, PBE-GGA
State: optimized geometry

Geometry as POSCAR:
```
Zr2ZnBi
1.0
4.4825 0.0000 0.0000
0.0000 4.4825 0.0000
0.0000 0.0000 4.3097
Zr Zn Bi
2 1 1
direct
0.0000 0.5000 0.0000 Zr
0.5000 0.0000 0.0000 Zr
0.0000 0.0000 0.5000 Zn
0.5000 0.5000 0.5000 Bi
```

Output
* relative energy among the computed polymorphs: 0 meV/atom
* symmetry: P4/mmm

No. 18
Material: Sm4AsBr5
Method: DFT, PBE-GGA
State: optimized geometry

Geometry as POSCAR:
```
Sm4AsBr5
1.0
9.2152 -2.0603 0.0000
9.2152 2.0603 0.0000
-1.8885 0.0000 8.3194
Sm As Br
4 1 5
direct
0.9999 0.9999 0.2243 Sm
0.0001 0.0001 0.7757 Sm
0.3470 0.3470 0.9199 Sm
0.6530 0.6530 0.0801 Sm
0.5000 0.5000 0.0000 As
0.1660 0.1660 0.3333 Br
0.1719 0.1719 0.8343 Br
0.5000 0.5000 0.5000 Br
0.8281 0.8281 0.1657 Br
0.8340 0.8340 0.6667 Br
```

Output
* E_form (uncorrected): -16.027 eV/f.u.
* symmetry: C2/m

No. 19
Material: NaPSCl2
Method: DFT, PBE-GGA
State: optimized geometry

Geometry as POSCAR:
```
NaPSCl2
1.0
4.7885 0.0000 0.0000
0.0000 4.7885 0.0000
0.0000 0.0000 6.3062
Na P S Cl
1 1 1 2
direct
0.0000 0.0000 0.0000 Na
0.0000 0.0000 0.5000 P
0.5000 0.5000 0.5000 S
0.0000 0.5000 0.0000 Cl
0.5000 0.0000 0.0000 Cl
```

Output
* relative energy among the computed polymorphs: 1158 meV/atom
* E_form (uncorrected): 3.155 eV/f.u.
* symmetry: P4/mmm

No. 20
Material: Th2NpF11
Method: DFT, PBE-GGA
State: optimized geometry

Geometry as POSCAR:
```
Th2NpF11
1.0
-4.3232 5.4144 5.7276
4.3232 -5.4144 5.7276
4.3232 5.4144 -5.7276
Th Np F
4 2 22
direct
0.1827 0.1451 0.3279 Th
0.3173 0.6451 0.9624 Th
0.6827 0.3549 0.0376 Th
0.8173 0.8549 0.6721 Th
0.2500 0.7500 0.5000 Np
0.7500 0.2500 0.5000 Np
0.0000 0.0000 0.0000 F
0.0331 0.4580 0.7721 F
0.0598 0.8549 0.6414 F
0.1858 0.9580 0.4249 F
0.2135 0.4184 0.3586 F
0.2155 0.8762 0.0917 F
0.2845 0.3762 0.6606 F
0.2865 0.6451 0.2049 F
0.3142 0.7391 0.7721 F
0.4402 0.0816 0.7951 F
0.4669 0.2391 0.4249 F
0.5000 0.5000 0.0000 F
0.5331 0.7609 0.5751 F
0.5598 0.9184 0.2049 F
0.6858 0.2609 0.2279 F
0.7135 0.3549 0.7951 F
0.7155 0.6238 0.3394 F
0.7845 0.1238 0.9083 F
0.7865 0.5816 0.6414 F
0.8142 0.0420 0.5751 F
0.9402 0.1451 0.3586 F
0.9669 0.5420 0.2279 F
```

Output
* E_form (uncorrected): -54.832 eV/f.u.
* symmetry: Ibam

Magnetization (computed, μB/f.u.): 0.00, 0.26, 0.00, 0.00, 0.00, 0.00, 0.00, 0.00, 2.04, 0.00, 3.56, 0.00, 0.00, 0.00, 0.00, 0.00, 0.00, 0.00, 3.05, 4.00